(1)
A plane-wave DFT calculation with GGA-PBE was carried out for a geometry-optimized ZrGaNO structure.

Results
Distance to the lowest polymorph of the same formula ... 95 meV per atom

The structure in POSCAR format:
```
ZrGaNO
1.0
-0.524 0.234 -3.402
-1.959 -5.046 -0.046
-6.029 2.330 1.089
Ga N O Zr
2 2 2 2
Direct
0.000 0.677 0.431
0.000 0.323 0.931
0.000 0.633 0.081
0.000 0.367 0.581
0.500 0.137 0.215
0.500 0.863 0.715
0.500 0.850 0.019
0.500 0.150 0.519
```

=====

(2)
A plane-wave DFT calculation with GGA-PBE was carried out for a geometry-optimized Dy2TmCu4Si2Ge2 structure.

Results
Distance to the lowest polymorph of the same formula ... 0 meV per atom

The structure in POSCAR format:
```
Dy2TmCu4Si2Ge2
1.0
-2.072 3.290 6.910
2.072 -3.290 6.910
2.072 3.290 -6.910
Cu Dy Ge Si Tm
4 2 2 2 1
Direct
0.983 0.674 0.309
0.636 0.326 0.309
0.017 0.326 0.691
0.364 0.674 0.691
0.630 0.130 0.500
0.370 0.870 0.500
0.694 0.500 0.194
0.306 0.500 0.806
0.216 0.216 0.000
0.784 0.784 0.000
0.000 0.000 0.000
```

=====

(3)
A plane-wave DFT calculation with GGA-PBE was carried out for a geometry-optimized BaBeSiPt structure.

Results
Distance to the lowest polymorph of the same formula ... 222 meV per atom

The structure in POSCAR format:
```
BaBeSiPt
1.0
0.000 3.491 3.491
3.491 0.000 3.491
3.491 3.491 0.000
Ba Be Pt Si
1 1 1 1
Direct
0.250 0.250 0.250
0.750 0.750 0.750
0.500 0.500 0.500
0.000 0.000 0.000
```

=====

(4)
A plane-wave DFT calculation with GGA-PBE was carried out for a geometry-optimized SrZrTe4 structure.

The structure in POSCAR format:
```
SrZrTe4
1.0
7.158 6.638 -7.773
-10.637 -2.469 6.040
1.788 3.376 4.529
Sr Te Zr
2 8 2
Direct
0.628 0.372 0.047
0.372 0.628 0.547
0.435 0.565 0.047
0.045 0.955 0.047
0.814 0.186 0.290
0.186 0.814 0.304
0.565 0.435 0.547
0.955 0.045 0.547
0.186 0.814 0.790
0.814 0.186 0.804
0.919 0.081 0.047
0.081 0.919 0.547
```

=====

(5)
A plane-wave DFT calculation with GGA-PBE was carried out for a geometry-optimized NiAs structure.

The structure in POSCAR format:
```
NiAs
1.0
-2.501 -1.643 0.277
1.814 -0.411 -2.361
1.839 -2.488 1.847
As Ni
1 1
Direct
0.667 0.333 0.750
0.333 0.667 0.250
```

=====

(6)
A plane-wave DFT calculation with GGA-PBE was carried out for a geometry-optimized NbAs2C structure.

The structure in POSCAR format:
```
NbAs2C
1.0
3.104 0.000 0.000
-1.552 2.689 0.000
0.000 0.000 13.718
As C Nb
4 2 2
Direct
0.333 0.667 0.098
0.333 0.667 0.402
0.667 0.333 0.598
0.667 0.333 0.902
0.000 0.000 0.000
0.000 0.000 0.500
0.667 0.333 0.250
0.333 0.667 0.750
```

=====

(7)
A plane-wave DFT calculation with GGA-PBE was carried out for a geometry-optimized RbGdHgTe3 structure.

Results
Distance to the lowest polymorph of the same formula ... 105 meV per atom

The structure in POSCAR format:
```
RbGdHgTe3
1.0
10.200 -2.250 0.000
10.200 2.250 0.000
-1.951 0.000 9.675
Gd Hg Rb Te
2 2 2 6
Direct
0.826 0.826 0.426
0.174 0.174 0.574
0.473 0.473 0.280
0.527 0.527 0.720
0.143 0.143 0.067
0.857 0.857 0.933
0.500 0.500 0.000
0.328 0.328 0.211
0.673 0.673 0.361
0.000 0.000 0.500
0.327 0.327 0.639
0.672 0.672 0.789
```

=====

(8)
A plane-wave DFT calculation with GGA-PBE was carried out for a geometry-optimized ZnCuBiIr structure.

Results
Distance to the lowest polymorph of the same formula ... 112 meV per atom

The structure in POSCAR format:
```
ZnCuBiIr
1.0
-0.313 -3.723 -2.683
0.017 -4.197 1.880
-3.842 -2.529 0.015
Bi Cu Ir Zn
1 1 1 1
Direct
0.000 0.000 0.000
0.750 0.750 0.750
0.500 0.500 0.500
0.250 0.250 0.250
```

=====

(9)
A plane-wave DFT calculation with GGA-PBE was carried out for a geometry-optimized Hf2ZrAs4Pt4 structure.

The structure in POSCAR format:
```
Hf2ZrAs4Pt4
1.0
-5.066 4.247 0.159
-2.535 -3.026 0.060
0.259 -0.065 7.696
As Hf Pt Zr
4 2 4 1
Direct
0.230 0.500 0.109
0.749 0.500 0.374
0.241 0.000 0.635
0.794 0.000 0.881
0.969 0.000 0.188
0.533 0.500 0.691
0.649 0.500 0.056
0.156 0.500 0.439
0.842 0.000 0.568
0.373 0.000 0.939
0.461 0.000 0.317
```

=====

(10)
A plane-wave DFT calculation with GGA-PBE was carried out for a geometry-optimized NdErCu structure.

Results
ΔH_f (0 K) ... 0.080 eV/atom
Distance to the lowest polymorph of the same formula ... 0 meV per atom

The structure in POSCAR format:
```
NdErCu
1.0
-3.420 2.252 2.635
-3.837 2.025 -2.211
-4.416 -1.996 0.474
Cu Er Nd
1 1 1
Direct
0.000 0.000 0.000
0.250 0.250 0.250
0.750 0.750 0.750
```

=====

(11)
A plane-wave DFT calculation with GGA-PBE was carried out for a geometry-optimized OsO2 structure.

The structure in POSCAR format:
```
OsO2
1.0
-2.633 -3.858 1.467
0.856 -2.213 -4.283
4.038 -2.047 1.865
O Os
8 4
Direct
0.850 0.350 0.150
0.650 0.850 0.150
0.350 0.350 0.350
0.150 0.850 0.350
0.850 0.150 0.650
0.650 0.650 0.650
0.350 0.150 0.850
0.150 0.650 0.850
0.000 0.000 0.000
0.500 0.500 0.000
0.500 0.000 0.500
0.000 0.500 0.500
```

=====

(12)
A plane-wave DFT calculation with GGA-PBE was carried out for a geometry-optimized YRe2Ge2 structure.

The structure in POSCAR format:
```
YRe2Ge2
1.0
5.162 -0.386 3.298
0.739 2.653 5.485
-3.955 -3.524 -3.100
Ge Re Y
2 2 1
Direct
0.384 0.384 0.000
0.616 0.616 0.000
0.750 0.250 0.500
0.250 0.750 0.500
0.000 0.000 0.000
```

=====

(13)
A plane-wave DFT calculation with GGA-PBE was carried out for a geometry-optimized Lu2CuB structure.

Results
Distance to the lowest polymorph of the same formula ... 0 meV per atom

The structure in POSCAR format:
```
Lu2CuB
1.0
3.701 0.000 0.000
-1.851 3.205 0.000
0.000 0.000 13.465
B Cu Lu
2 2 4
Direct
0.000 0.000 0.000
0.000 0.000 0.500
0.667 0.333 0.250
0.333 0.667 0.750
0.333 0.667 0.102
0.333 0.667 0.398
0.667 0.333 0.602
0.667 0.333 0.898
```

=====

(14)
A plane-wave DFT calculation with GGA-PBE was carried out for a geometry-optimized PmMgIn2 structure.

The structure in POSCAR format:
```
PmMgIn2
1.0
4.688 0.000 0.000
0.000 4.688 0.000
0.000 0.000 4.578
In Mg Pm
2 1 1
Direct
0.500 0.000 0.000
0.000 0.500 0.000
0.500 0.500 0.500
0.000 0.000 0.500
```

=====

(15)
A plane-wave DFT calculation with GGA-PBE was carried out for a geometry-optimized SmAl4Au8 structure.

The structure in POSCAR format:
```
SmAl4Au8
1.0
5.729 -3.834 -1.673
-2.426 2.884 6.009
-4.943 -5.013 -0.864
Al Au Sm
4 8 1
Direct
0.500 0.000 0.000
0.000 0.500 0.000
0.000 0.000 0.500
0.500 0.500 0.500
0.719 0.500 0.219
0.500 0.719 0.219
0.328 0.000 0.328
0.000 0.328 0.328
0.672 0.000 0.672
0.000 0.672 0.672
0.281 0.500 0.781
0.500 0.281 0.781
0.000 0.000 0.000
```

=====

(16)
A plane-wave DFT calculation with GGA-PBE was carried out for a geometry-optimized Ge2PtO3 structure.

Results
Distance to the lowest polymorph of the same formula ... 587 meV per atom

The structure in POSCAR format:
```
Ge2PtO3
1.0
-1.740 2.024 5.794
1.740 -2.024 5.794
1.740 2.024 -5.794
Ge O Pt
2 3 1
Direct
0.344 0.344 0.000
0.656 0.656 0.000
0.177 0.177 0.000
0.823 0.823 0.000
0.500 0.000 0.500
0.000 0.000 0.000
```

=====

(17)
A plane-wave DFT calculation with GGA-PBE was carried out for a geometry-optimized CdTeO3 structure.

The structure in POSCAR format:
```
CdTeO3
1.0
1.113 1.393 5.303
-0.556 -3.802 4.067
5.567 -2.361 2.403
Cd O Te
2 6 2
Direct
0.657 0.657 0.030
0.343 0.343 0.970
0.940 0.610 0.224
0.226 0.940 0.224
0.610 0.226 0.224
0.390 0.774 0.776
0.774 0.060 0.776
0.060 0.390 0.776
0.876 0.876 0.372
0.124 0.124 0.628
```

=====

(18)
A plane-wave DFT calculation with GGA-PBE was carried out for a geometry-optimized FeSiHgIr structure.

Results
Distance to the lowest polymorph of the same formula ... 0 meV per atom

The structure in POSCAR format:
```
FeSiHgIr
1.0
-3.074 -3.118 -0.355
-4.179 0.912 0.999
-3.017 0.242 -3.183
Fe Hg Ir Si
1 1 1 1
Direct
0.750 0.750 0.750
0.500 0.500 0.500
0.250 0.250 0.250
0.000 0.000 0.000
```

=====

(19)
A plane-wave DFT calculation with GGA-PBE was carried out for a geometry-optimized Li7CdO6 structure.

The structure in POSCAR format:
```
Li7CdO6
1.0
5.591 0.000 0.000
-2.795 4.842 0.000
-2.796 1.614 4.899
Cd Li O
1 7 6
Direct
0.000 0.000 0.000
0.342 0.658 0.025
0.058 0.221 0.334
0.497 0.942 0.334
0.779 0.503 0.334
0.270 0.473 0.665
0.868 0.730 0.665
0.527 0.132 0.665
0.746 0.868 0.254
0.132 0.623 0.254
0.377 0.254 0.255
0.206 0.070 0.734
0.599 0.794 0.735
0.930 0.402 0.735
```

=====

(20)
A plane-wave DFT calculation with GGA-PBE was carried out for a geometry-optimized ScInHgTe3 structure.

The structure in POSCAR format:
```
ScInHgTe3
1.0
7.559 -2.137 0.000
7.559 2.137 0.000
0.000 0.000 11.221
Hg In Sc Te
2 2 2 6
Direct
0.460 0.460 0.250
0.540 0.540 0.750
0.763 0.763 0.250
0.237 0.237 0.750
0.000 0.000 0.000
0.000 0.000 0.500
0.363 0.363 0.037
0.086 0.086 0.250
0.363 0.363 0.463
0.637 0.637 0.537
0.914 0.914 0.750
0.637 0.637 0.963
```

=====

Number 1: V 15.301 Å³/atom, DFT total energy -7.5259 eV/atom. Number 2: V 17.130 Å³/atom, DFT total energy -5.0578 eV/atom. Number 3: V 21.279 Å³/atom, DFT total energy -3.8181 eV/atom. Number 4: V 34.190 Å³/atom, DFT total energy -4.7527 eV/atom. Number 5: V 14.091 Å³/atom, DFT total energy -5.0905 eV/atom. Number 6: V 14.312 Å³/atom, DFT total energy -6.3966 eV/atom. Number 7: V 36.998 Å³/atom, DFT total energy -3.4321 eV/atom. Number 8: V 17.199 Å³/atom, DFT total energy -4.1252 eV/atom. Number 9: V 18.273 Å³/atom, DFT total energy -7.2728 eV/atom. Number 10: V 27.212 Å³/atom, DFT total energy -4.2682 eV/atom. Number 11: V 9.780 Å³/atom, DFT total energy -7.8413 eV/atom. Number 12: V 18.166 Å³/atom, DFT total energy -8.2862 eV/atom. Number 13: V 19.967 Å³/atom, DFT total energy -4.8516 eV/atom. Number 14: V 25.160 Å³/atom, DFT total energy -3.3784 eV/atom. Number 15: V 18.158 Å³/atom, DFT total energy -4.0090 eV/atom. Number 16: V 13.600 Å³/atom, DFT total energy -5.4384 eV/atom. Number 17: V 15.312 Å³/atom, DFT total energy -4.8153 eV/atom. Number 18: V 14.981 Å³/atom, DFT total energy -5.3984 eV/atom. Number 19: V 9.473 Å³/atom, DFT total energy -4.4829 eV/atom. Number 20: V 30.210 Å³/atom, DFT total energy -3.6815 eV/atom.